(1)
KCd3As2, relaxed, DFT PBE; ρ = 5.16 g/cm3; raw total energy = -2.405 eV per atom; E_form = -0.215 eV/atom
1.0
8.750 -2.242 0.000
8.750 2.242 0.000
-5.690 0.000 8.634
K Cd As
2 6 4
direct
0.138 0.138 0.048
0.862 0.862 0.952
0.076 0.076 0.398
0.290 0.290 0.610
0.408 0.408 0.300
0.592 0.592 0.700
0.710 0.710 0.390
0.924 0.924 0.602
0.177 0.177 0.720
0.474 0.474 0.792
0.526 0.526 0.208
0.823 0.823 0.280

---

(2)
LiNd2Zn2Cu5, relaxed, DFT PBE; ρ = 6.96 g/cm3; raw total energy = -3.495 eV per atom; E_form = -0.047 eV/atom
1.0
9.879 0.000 0.000
0.000 9.879 0.000
0.000 0.000 3.636
Li Nd Zn Cu
2 4 4 10
direct
0.000 0.000 0.000
0.500 0.500 0.000
0.179 0.321 0.000
0.321 0.821 0.000
0.679 0.179 0.000
0.821 0.679 0.000
0.119 0.619 0.000
0.381 0.119 0.000
0.619 0.881 0.000
0.881 0.381 0.000
0.000 0.500 0.500
0.051 0.800 0.500
0.200 0.051 0.500
0.300 0.551 0.500
0.449 0.300 0.500
0.500 0.000 0.500
0.551 0.700 0.500
0.700 0.449 0.500
0.800 0.949 0.500
0.949 0.200 0.500

---

(3)
Nd2Mg2CdPd5, relaxed, DFT PBE; ρ = 8.26 g/cm3; raw total energy = -4.498 eV per atom; E_form = -0.537 eV/atom
1.0
10.340 0.000 0.000
0.000 10.340 0.000
0.000 0.000 3.691
Nd Mg Cd Pd
4 4 2 10
direct
0.177 0.323 0.000
0.323 0.823 0.000
0.677 0.177 0.000
0.823 0.677 0.000
0.122 0.622 0.000
0.378 0.122 0.000
0.622 0.878 0.000
0.878 0.378 0.000
0.000 0.000 0.000
0.500 0.500 0.000
0.000 0.500 0.500
0.061 0.797 0.500
0.203 0.061 0.500
0.297 0.561 0.500
0.439 0.297 0.500
0.500 0.000 0.500
0.561 0.703 0.500
0.703 0.439 0.500
0.797 0.939 0.500
0.939 0.203 0.500

---

(4)
MgB3F, relaxed, DFT PBE; ρ = 2.05 g/cm3; raw total energy = -3.059 eV per atom; formation energy without anion corrections = 1.640 eV/atom
1.0
3.943 0.000 0.000
0.000 3.943 0.000
0.000 0.000 3.943
Mg B F
1 3 1
direct
0.000 0.000 0.000
0.000 0.500 0.500
0.500 0.000 0.500
0.500 0.500 0.000
0.500 0.500 0.500

---

The lowest ρ belongs to which entry? MgB3F